YRe2Tc after structural relaxation, computed with PBE-GGA.

calculated volume: 68.0 Å³ per cell
space-group type: No. 47
Fermi-level density of states: 3.5 states/eV per cell
calculated total energy: -10.12 eV/atom
energy of formation from the pure elements: 29.7 kJ per mole of atoms
size of the total moment: 0.000 μB per atom

Lattice parameters (Å, degrees): 3.1969 4.5195 4.7063 90.00 90.00 90.00
With the nearest neighbours (Å) after each atom.
Fractional coordinates of all 4 atoms:
Re: 0.0000 0.0000 0.0000  4 Re 2.77, 4 Tc 2.84
Re: 0.5000 0.5000 0.0000  4 Re 2.77, 4 Y 2.84
Tc: 0.5000 0.0000 0.5000  4 Y 2.77, 4 Re 2.84
Y: 0.0000 0.5000 0.5000  4 Tc 2.77, 4 Re 2.84


LaPRu2 after structural relaxation, computed with PBE-GGA.

calculated volume: 173.0 Å³ per cell
space-group type: No. 122
Fermi-level density of states: 5.3 states/eV per cell
calculated total energy: -7.52 eV/atom
energy of formation from the pure elements: -28.3 kJ per mole of atoms
size of the total moment: 0.000 μB per atom

Lattice parameters (Å, degrees): 4.6560 4.6560 8.6313 74.35 74.35 90.00
With the nearest neighbours (Å) after each atom.
Fractional coordinates of all 8 atoms:
Ru: 0.4663 0.1250 0.2500  2 P 2.35, 2 Ru 2.48
Ru: 0.2837 0.6250 0.2500  2 P 2.35, 2 Ru 2.48
Ru: 0.3750 0.5337 0.7500  2 P 2.35, 2 Ru 2.48
Ru: 0.8750 0.7163 0.7500  2 P 2.35, 2 Ru 2.48
P: 0.5000 0.5000 0.0000  4 Ru 2.35
P: 0.2500 0.7500 0.5000  4 Ru 2.35
La: 0.0000 0.0000 0.0000  4 Ru 2.99, 4 P 3.29
La: 0.7500 0.2500 0.5000  4 Ru 2.99, 4 P 3.29


CsBiTeF after structural relaxation, computed with PBE-GGA.

calculated volume: 140.1 Å³ per cell
space-group type: No. 6
Fermi-level density of states: 1.0 states/eV per cell
formation energy from raw total energies: -5.0 eV/f.u.
calculated total energy: -3.68 eV/atom
size of the total moment: 0.000 μB per atom

Lattice parameters (Å, degrees): 4.1850 4.0015 8.4487 90.00 97.94 90.00
With the nearest neighbours (Å) after each atom.
Fractional coordinates of all 4 atoms:
Cs: 0.2849 0.0000 0.1667  4 F 2.99-3.14
Te: 0.6945 0.5000 0.8128  2 Bi 2.86-2.96
Bi: 0.1107 0.5000 0.5708  1 F 2.58, 1 Te 2.86
F: 0.7925 0.5000 0.2872  1 Bi 2.58


- Which of these has the highest calculated total energy?
  CsBiTeF